First-principles (PBE-GGA) data for Y2Cu2H after structural relaxation, as listed in the Alexandria database.

Cell and atoms, written as CIF:
```
data_Y2Cu2H
_cell_length_a 5.503
_cell_length_b 5.503
_cell_length_c 6.554
_cell_angle_alpha 90.00
_cell_angle_beta 90.00
_cell_angle_gamma 90.00
_symmetry_space_group_name_H-M 'I 4/m m m'
_symmetry_Int_Tables_number 139
_symmetry_space_group_name_Hall '-I 4 2'
loop_
_atom_site_label
_atom_site_type_symbol
_atom_site_fract_x
_atom_site_fract_y
_atom_site_fract_z
Y1 Y 0.000 0.500 0.250
Cu1 Cu 0.000 0.000 0.174
H1 H 0.000 0.000 0.500
```

**Crystal system**: tetragonal
**Raw total energy**: -4.54 eV per atom
**Fermi-level density of states**: 4.289 states/eV/f.u.
**Total magnetization**: 0.7 μB/cell
**ρ**: 5.12 g/cm3